[1]
Computed, not measured: a relaxed Al3Ni20B6 crystal at the PBE level of DFT.

For the size of the total moment, the calculation gives 0.00 μB per atom. For the total energy, the calculation gives -697.7 eV for the cell shown.

The space group is Fm-3m (No. 225) and the conventional cell measures 10.5096, 10.5096 and 10.5096 Å, with angles of 90.00, 90.00 and 90.00 degrees. Symmetry generates all atoms from Al at (0.0000, 0.0000, 0.0000), Al at (0.2500, 0.2500, 0.2500), Ni at (0.0000, 0.1691, 0.1691), Ni at (0.1174, 0.1174, 0.3826) and B at (0.0000, 0.0000, 0.2738).

---

[2]
Computed, not measured: a relaxed AlNiB2 crystal at the PBE level of DFT.

For the size of the total moment, the calculation gives 0.00 μB per atom. For the total energy, the calculation gives -77.5 eV for the cell shown.

The space group is F-43m (No. 216) and the conventional cell measures 5.3548, 5.3548 and 5.3548 Å, with angles of 90.00, 90.00 and 90.00 degrees. Symmetry generates all atoms from Al at (0.0000, 0.0000, 0.0000), Ni at (0.2500, 0.2500, 0.2500), B at (0.0000, 0.0000, 0.5000) and B at (0.2500, 0.2500, 0.7500).

---

[3]
Computed, not measured: a relaxed PrAl3B4O12 crystal at the PBE level of DFT.

For the size of the total moment, the calculation gives 0.00 μB per atom. For the total energy, the calculation gives -633.4 eV for the cell shown.

The space group is C2/c (No. 15) and the conventional cell measures 7.2635, 9.3798 and 11.0998 Å, with angles of 90.00, 103.12 and 90.00 degrees. Symmetry generates all atoms from Pr at (0.0000, 0.0378, 0.2500), Al at (0.0000, 0.4102, 0.7500), Al at (0.0561, 0.2508, 0.5287), B at (0.1926, 0.3157, 0.2219), B at (0.2481, 0.4708, 0.9943), O at (0.0607, 0.2444, 0.1366), O at (0.0944, 0.3979, 0.9256), O at (0.0957, 0.0996, 0.9391), O at (0.1601, 0.2624, 0.7055), O at (0.1868, 0.4586, 0.2428) and O at (0.2488, 0.1191, 0.4957).

---

[4]
Computed, not measured: a relaxed AlBPd crystal at the PBE level of DFT.

For the total energy, the calculation gives -59.8 eV for the cell shown.

The space group is F-43m (No. 216) and the conventional cell measures 5.5137, 5.5137 and 5.5137 Å, with angles of 90.00, 90.00 and 90.00 degrees. Symmetry generates all atoms from Al at (0.0000, 0.0000, 0.0000), B at (0.0000, 0.0000, 0.5000) and Pd at (0.2500, 0.2500, 0.2500).

---

[5]
Computed, not measured: a relaxed AlBPd crystal at the PBE level of DFT.

For the total energy, the calculation gives -57.4 eV for the cell shown.

The space group is F-43m (No. 216) and the conventional cell measures 5.5134, 5.5134 and 5.5134 Å, with angles of 90.00, 90.00 and 90.00 degrees. Symmetry generates all atoms from Al at (0.0000, 0.0000, 0.0000), B at (0.2500, 0.2500, 0.7500) and Pd at (0.2500, 0.2500, 0.2500).

---

[6]
Computed, not measured: a relaxed PrAlB4 crystal at the PBE level of DFT.

For the size of the total moment, the calculation gives 0.00 μB per atom. For the total energy, the calculation gives -71.0 eV for the cell shown.

The space group is Immm (No. 71) and the conventional cell measures 3.2427, 5.3002 and 8.2661 Å, with angles of 90.00, 90.00 and 90.00 degrees. Symmetry generates all atoms from Pr at (0.0000, 0.0000, 0.0000), Al at (0.0000, 0.0000, 0.5000) and B at (0.0000, 0.3270, 0.2580).

---

[7]
Computed, not measured: a relaxed PrAlB crystal at the PBE level of DFT.

For the size of the total moment, the calculation gives 0.00 μB per atom. For the total energy, the calculation gives -60.6 eV for the cell shown.

The space group is F-43m (No. 216) and the conventional cell measures 6.1290, 6.1290 and 6.1290 Å, with angles of 90.00, 90.00 and 90.00 degrees. Symmetry generates all atoms from Pr at (0.0000, 0.0000, 0.0000), Al at (0.0000, 0.0000, 0.5000) and B at (0.2500, 0.2500, 0.7500).

---

[8]
Computed, not measured: a relaxed PrAlB4 crystal at the PBE level of DFT.

For the size of the total moment, the calculation gives 0.00 μB per atom. For the total energy, the calculation gives -36.2 eV for the cell shown.

The space group is P6/mmm (No. 191) and the conventional cell measures 3.1232, 3.1232 and 7.6270 Å, with angles of 90.00, 90.00 and 120.00 degrees. Symmetry generates all atoms from Pr at (0.0000, 0.0000, 0.0000), Al at (0.0000, 0.0000, 0.5000) and B at (0.3333, 0.6667, 0.2949).